# 1
# Gd3Zn2InPt2Au | the Open Quantum Materials Database | PBE | relaxed
# VASP energy: -4.72 eV/atom
data_Gd3Zn2InPt2Au
_chemical_formula_sum 'Gd6 Zn4 In2 Pt4 Au2'
_cell_length_a 3.857
_cell_length_b 13.022
_cell_length_c 7.620
_cell_angle_alpha 90.00
_cell_angle_beta 90.00
_cell_angle_gamma 90.00
_symmetry_space_group_name_H-M 'A m m 2'
_symmetry_Int_Tables_number 38
_symmetry_space_group_name_Hall 'A 2 -2'
loop_
_atom_site_label
_atom_site_fract_x
_atom_site_fract_y
_atom_site_fract_z
_atom_site_occupancy
Gd1 0.000 0.000 0.000 1
Gd2 0.000 0.209 0.394 1
Zn1 0.500 0.133 0.728 1
In1 0.500 0.000 0.341 1
Pt1 0.500 0.168 0.095 1
Au1 0.000 0.000 0.612 1

# 2
# CdTcPO | the Open Quantum Materials Database | PBE | relaxed
# VASP energy: -5.76 eV/atom
# ΔE to the lowest computed polymorph: 0.1764 eV per atom
data_CdTcPO
_chemical_formula_sum 'Cd2 Tc2 P2 O2'
_cell_length_a 4.142
_cell_length_b 4.142
_cell_length_c 7.547
_cell_angle_alpha 90.00
_cell_angle_beta 90.00
_cell_angle_gamma 90.00
_symmetry_space_group_name_H-M 'P 4/n m m'
_symmetry_Int_Tables_number 129
loop_
_symmetry_equiv_pos_as_xyz
'x,y,z'
'-x,-y,-z'
'-y+1/2,x,z'
'y+1/2,-x,-z'
'-x+1/2,-y+1/2,z'
'x+1/2,y+1/2,-z'
'y,-x+1/2,z'
'-y,x+1/2,-z'
'x+1/2,-y,-z'
'-x+1/2,y,z'
'-y,-x,-z'
'y,x,z'
'-x,y+1/2,-z'
'x,-y+1/2,z'
'y+1/2,x+1/2,-z'
'-y+1/2,-x+1/2,z'
loop_
_atom_site_label
_atom_site_fract_x
_atom_site_fract_y
_atom_site_fract_z
_atom_site_occupancy
Cd1 0.250 0.250 0.112 1
Tc1 0.250 0.750 0.500 1
P1 0.250 0.250 0.638 1
O1 0.250 0.750 0.000 1

# 3
# NaCuGeS3 | the Open Quantum Materials Database | PBE | relaxed
# VASP energy: -4.11 eV/atom
# ΔE to the lowest computed polymorph: 0.0000 eV per atom
data_NaCuGeS3
_chemical_formula_sum 'Na2 Cu2 Ge2 S6'
_cell_length_a 7.416
_cell_length_b 3.677
_cell_length_c 8.878
_cell_angle_alpha 90.00
_cell_angle_beta 106.23
_cell_angle_gamma 90.00
_symmetry_space_group_name_H-M 'P 1 21/m 1'
_symmetry_Int_Tables_number 11
_symmetry_space_group_name_Hall '-P 2yb'
loop_
_atom_site_label
_atom_site_fract_x
_atom_site_fract_y
_atom_site_fract_z
_atom_site_occupancy
Na1 0.247 0.250 0.201 1
Cu1 0.441 0.250 0.910 1
Ge1 0.179 0.750 0.643 1
S1 0.062 0.750 0.362 1
S2 0.247 0.750 0.932 1
S3 0.401 0.250 0.645 1

# 4
# LiMg2Pt | the Open Quantum Materials Database | PBE | relaxed
# VASP energy: -3.08 eV/atom
# ΔE to the lowest computed polymorph: 0.3187 eV per atom
data_LiMg2Pt
_chemical_formula_sum 'Li2 Mg4 Pt2'
_cell_length_a 4.2345
_cell_length_b 4.2345
_cell_length_c 9.5963
_cell_angle_alpha 90.00
_cell_angle_beta 90.00
_cell_angle_gamma 120.00
_symmetry_space_group_name_H-M 'P 63/m m c'
_symmetry_Int_Tables_number 194
_symmetry_space_group_name_Hall '-P 6c 2c'
loop_
_atom_site_label
_atom_site_fract_x
_atom_site_fract_y
_atom_site_fract_z
_atom_site_occupancy
Li1 0.3333 0.6667 0.2500 1
Mg1 0.3333 0.6667 0.5999 1
Pt1 0.0000 0.0000 0.2500 1

# 5
# Sc2HgOsC | the Open Quantum Materials Database | PBE | relaxed
# VASP energy: -7.15 eV/atom
data_Sc2HgOsC
_chemical_formula_sum 'Sc2 Hg1 Os1 C1'
_cell_length_a 4.643
_cell_length_b 4.643
_cell_length_c 3.906
_cell_angle_alpha 90.00
_cell_angle_beta 90.00
_cell_angle_gamma 90.00
_symmetry_space_group_name_H-M 'P 4/m m m'
_symmetry_Int_Tables_number 123
_symmetry_space_group_name_Hall '-P 4 2'
loop_
_atom_site_label
_atom_site_fract_x
_atom_site_fract_y
_atom_site_fract_z
_atom_site_occupancy
Sc1 0.000 0.500 0.000 1
Hg1 0.000 0.000 0.500 1
Os1 0.500 0.500 0.500 1
C1 0.500 0.500 0.000 1

# 6
# DySnMo | the Open Quantum Materials Database | PBE | relaxed
# VASP energy: -6.07 eV/atom
# ΔE to the lowest computed polymorph: 0.0000 eV per atom
data_DySnMo
_chemical_formula_sum 'Dy4 Sn4 Mo4'
_cell_length_a 6.707
_cell_length_b 6.707
_cell_length_c 6.707
_cell_angle_alpha 90.00
_cell_angle_beta 90.00
_cell_angle_gamma 90.00
_symmetry_space_group_name_H-M 'F -4 3 m'
_symmetry_Int_Tables_number 216
_symmetry_space_group_name_Hall 'F -4 2 3'
loop_
_atom_site_label
_atom_site_fract_x
_atom_site_fract_y
_atom_site_fract_z
_atom_site_occupancy
Dy1 0.000 0.000 0.000 1
Sn1 0.000 0.000 0.500 1
Mo1 0.250 0.250 0.250 1